An optimized crystal structure of BaScAl2, computed with GGA-PBEsol.

It has space group P4/mmm (No. 123), with a = 5.455 Å, b = 5.455 Å, c = 3.382 Å, α = 90.00°, β = 90.00° and γ = 90.00°. Symmetry generates all atoms from Ba at (0.000, 0.000, 0.000), Sc at (0.500, 0.500, 0.000) and Al at (0.000, 0.500, 0.500).

The value obtained for the calculated formation energy is 7.44 kJ/mol of atoms. The value obtained for the theoretical density is 3897 kg/m³. The calculation puts the energy above the most stable polymorph in this dataset at 142.3 meV/atom. The density of states at the Fermi level comes out at 4.4 states/eV per cell. The value obtained for the total energy is -16.629 eV per cell.